The following is a DFT calculation (PBE-GGA) of Sm5ErCd4 after structural relaxation.

## Properties
Energy relative to the elements   -23 kJ/mol of atoms

a = 3.7572 Å, b = 3.7572 Å, c = 20.3751 Å
α = 90.00°, β = 90.00°, γ = 90.00°
Space group P4/mmm (No. 123)
Asymmetric unit:
Sm: 0.0000 0.0000 0.0000 x1
Sm: 0.0000 0.0000 0.1907 x2
Sm: 0.0000 0.0000 0.3829 x2
Er: 0.5000 0.5000 0.5000 x1
Cd: 0.5000 0.5000 0.0957 x2
Cd: 0.5000 0.5000 0.2876 x2